Here is a relaxed LaWBr2 crystal from Alexandria. Energies are from GGA-PBEsol.

Structure (extended XYZ):
```
4
Lattice="3.3789 0.0000 0.0000 0.0000 3.3789 0.0000 0.0000 0.0000 9.4373" Properties=species:S:1:pos:R:3 pbc="T T T"
Br 0.0000 0.0000 1.8613
Br 0.0000 0.0000 7.5760
W 1.6895 1.6895 4.7187
La 1.6895 1.6895 0.0000
```

SG ... P4/mmm

=====

Here is a relaxed La2YBr crystal from Alexandria. Energies are from GGA-PBEsol.

Structure (extended XYZ):
```
4
Lattice="3.6303 0.0160 0.0000 -0.0301 5.9573 0.0000 0.0000 0.0000 5.9569" Properties=species:S:1:pos:R:3 pbc="T T T"
Y 1.7976 3.7338 0.0000
La 3.3931 3.7358 2.9785
La 0.2157 0.7484 0.0000
Br 3.6242 0.7580 2.9785
```

SG ... Pm

=====

Here is a relaxed LaY2Br crystal from Alexandria. Energies are from GGA-PBEsol.

Structure (extended XYZ):
```
4
Lattice="-1.6122 2.7241 -3.3403 -2.6858 -3.4242 -1.4962 -1.8350 2.0345 5.7149" Properties=species:S:1:pos:R:3 pbc="T T T"
La 0.0000 0.0000 0.0000
Y -2.7981 2.2043 -0.0218
Y -3.3349 -0.8699 0.9002
Br -2.1490 -0.3501 -2.4182
```

SG ... I4/mmm

=====

Here is a relaxed La2ZnBr crystal from Alexandria. Energies are from GGA-PBEsol.

Structure (extended XYZ):
```
4
Lattice="3.5925 0.0000 0.0000 0.0000 5.0543 0.0101 -1.7962 -0.0113 5.8141" Properties=species:S:1:pos:R:3 pbc="T T T"
La 0.0000 0.6312 0.0079
La 0.0000 3.1535 2.9186
Zn 1.7962 3.1589 0.1062
Br 1.7962 0.6265 2.7964
```

SG ... Amm2

=====

Here is a relaxed La2ZnBr crystal from Alexandria. Energies are from GGA-PBEsol.

Structure (extended XYZ):
```
4
Lattice="-1.6635 -1.5071 -3.6390 -0.1728 -3.9185 1.7019 -5.6183 1.1553 2.0897" Properties=species:S:1:pos:R:3 pbc="T T T"
Zn -2.1073 0.4333 0.7838
Br -5.8344 -1.7018 0.8600
La -3.0244 -2.2797 -0.1851
La -4.9159 1.0109 1.8285
```

SG ... P4/mmm

=====

Here is a relaxed La2ZnBr crystal from Alexandria. Energies are from GGA-PBEsol.

Structure (extended XYZ):
```
4
Lattice="4.2983 0.0000 0.0000 -2.1491 3.7297 -0.0311 0.0000 -2.4176 7.1252" Properties=species:S:1:pos:R:3 pbc="T T T"
Zn 0.0000 -1.2088 3.5626
La 2.1491 0.0519 5.3223
La 0.0000 1.2601 1.7719
Br 2.1491 0.0000 0.0000
```

SG ... C2/m

=====

Here is a relaxed LaZn2Br crystal from Alexandria. Energies are from GGA-PBEsol.

Structure (extended XYZ):
```
4
Lattice="-3.3460 -1.5524 -0.6514 1.8898 -4.1435 0.1677 -1.0079 -0.2282 5.7211" Properties=species:S:1:pos:R:3 pbc="T T T"
Br -0.7281 -2.8480 -0.2419
Zn -0.2672 -0.0605 1.5165
Zn -0.7408 -0.1677 4.2046
La -1.2321 -2.9620 2.6187
```

SG ... Pmmm

=====

Here is a relaxed La2ZnBr crystal from Alexandria. Energies are from GGA-PBEsol.

Structure (extended XYZ):
```
4
Lattice="3.6457 0.0000 0.0638 0.0000 3.6915 0.0000 -0.1218 0.0000 8.5331" Properties=species:S:1:pos:R:3 pbc="T T T"
Br -0.0609 1.8458 4.2665
Zn 1.8229 1.8458 0.0319
La -0.0913 0.0000 6.7296
La 3.6152 0.0000 1.8673
```

SG ... P2/m

=====

Here is a relaxed LaZn2Br crystal from Alexandria. Energies are from GGA-PBEsol.

Structure (extended XYZ):
```
4
Lattice="-3.3999 3.0893 -0.3239 -3.0647 -3.2580 1.0958 3.6977 1.0269 3.7182" Properties=species:S:1:pos:R:3 pbc="T T T"
La -1.2997 -1.1577 2.6000
Zn 0.0000 0.0000 0.0000
Zn -1.4672 2.0159 1.8901
Br -3.2323 -0.0843 0.3859
```

SG ... I-4m2

=====

Here is a relaxed La2ZnBr crystal from Alexandria. Energies are from GGA-PBEsol.

Structure (extended XYZ):
```
4
Lattice="5.2657 0.0000 0.0000 2.6329 4.5603 0.0000 2.6329 1.5201 4.2995" Properties=species:S:1:pos:R:3 pbc="T T T"
Br 5.2657 3.0402 2.1497
La 7.8986 4.5603 3.2246
La 2.6329 1.5201 1.0749
Zn 0.0000 0.0000 0.0000
```

SG ... Fm-3m

=====

Here is a relaxed LaZrBr4 crystal from Alexandria. Energies are from GGA-PBEsol.

Structure (extended XYZ):
```
6
Lattice="6.1461 0.0000 0.0000 3.0730 5.3227 0.0000 3.0730 1.7742 5.0183" Properties=species:S:1:pos:R:3 pbc="T T T"
Br 6.1461 3.5484 4.3940
Br 6.1461 5.3255 1.8808
Br 7.6851 2.6599 1.8808
Br 4.6071 2.6599 1.8808
La 9.2191 5.3227 3.7637
Zr 0.0000 0.0000 0.0000
```

SG ... F-43m

=====

Here is a relaxed LaZrBr crystal from Alexandria. Energies are from GGA-PBEsol.

Structure (extended XYZ):
```
3
Lattice="-3.0112 -0.8955 -1.4853 2.4273 -2.4134 0.5991 -2.9390 -1.2845 6.7330" Properties=species:S:1:pos:R:3 pbc="T T T"
Zr -2.0896 -1.7910 1.2513
Br -0.1219 -0.0533 0.2792
La -1.3115 -2.7491 4.3163
```

SG ... P3m1

=====

Number 1: energy -21.0 eV/cell. Number 2: energy -21.2 eV/cell. Number 3: energy -21.4 eV/cell. Number 4: energy -17.1 eV/cell. Number 5: energy -17.4 eV/cell. Number 6: energy -17.2 eV/cell. Number 7: energy -11.6 eV/cell. Number 8: energy -17.1 eV/cell. Number 9: energy -12.2 eV/cell. Number 10: energy -16.6 eV/cell. Number 11: energy -21.8 eV/cell. Number 12: energy -17.9 eV/cell.